DFT (GGA-PBE) results for LiAgRh2Pb after structural relaxation.

Cell: 4.9370 4.2787 4.9370 Å, 90.00 90.00 90.00°
Sites, in units of the cell vectors:
Rh 0.0000 0.0000 0.5000
Rh 0.5000 0.0000 0.0000
Pb 0.5000 0.5000 0.5000
Ag 0.0000 0.0000 0.0000
Li 0.0000 0.5000 0.0000

Density in g/cm3: 8.4
E in eV per cell: -19.58
Total moment in Bohr magnetons per cell: 0.00
Calculated formation energy in eV/atom: 0.72

DFT (GGA-PBE) results for AlTeIr after structural relaxation.

Cell: 4.3915 4.3915 4.3915 Å, 60.00 60.00 60.00°
Sites, in units of the cell vectors:
Ir 0.2500 0.2500 0.2500
Te 0.0000 0.0000 0.0000
Al 0.5000 0.5000 0.5000

Distance to the lowest polymorph of the same formula in eV per formula unit: 0.00
Density in g/cm3: 9.6
E in eV per cell: -16.73
ΔE_f (raw) in eV/atom: -0.33
Total moment in Bohr magnetons per cell: 0.00

DFT (GGA-PBE) results for LiHo2Se after structural relaxation.

Cell: 3.7873 3.7873 9.0178 Å, 77.88 77.88 60.00°
Sites, in units of the cell vectors:
Se 0.6671 0.6671 0.9988
Li 0.4997 0.4997 0.5010
Ho 0.2653 0.2653 0.2042
Ho 0.0680 0.0680 0.7960

Density in g/cm3: 6.4
E in eV per cell: -17.24
ΔE_f (raw) in eV/atom: -0.67
Total moment in Bohr magnetons per cell: 0.24

DFT (GGA-PBE) results for Li3MgSn after structural relaxation.

Cell: 4.9215 4.9215 4.9215 Å, 69.18 69.18 69.18°
Sites, in units of the cell vectors:
Sn 0.9509 0.9509 0.9509
Li 0.8322 0.3228 0.3228
Li 0.3228 0.8322 0.3228
Mg 0.6962 0.6962 0.6962
Li 0.3228 0.3228 0.8322

Distance to the lowest polymorph of the same formula in eV per formula unit: 0.34
Density in g/cm3: 2.7
E in eV per cell: -12.30
Total moment in Bohr magnetons per cell: 0.00
Calculated formation energy in eV/atom: -0.19

DFT (GGA-PBE) results for AsSe2IO after structural relaxation.

Cell: 5.2980 5.2980 5.5758 Å, 90.00 90.00 90.00°
Sites, in units of the cell vectors:
Se 0.0000 0.5000 0.0000
O 0.5000 0.5000 0.5000
Se 0.5000 0.0000 0.0000
I 0.0000 0.0000 0.0000
As 0.0000 0.0000 0.5000

Distance to the lowest polymorph of the same formula in eV per formula unit: 5.40
Density in g/cm3: 4.0
E in eV per cell: -9.91
ΔE_f (raw) in eV/atom: 1.64
Total moment in Bohr magnetons per cell: 0.00

DFT (GGA-PBE) results for AlInPd after structural relaxation.

Cell: 4.3962 4.3962 4.3962 Å, 60.00 60.00 60.00°
Sites, in units of the cell vectors:
In 0.5000 0.5000 0.5000
Al 0.0000 0.0000 0.0000
Pd 0.2500 0.2500 0.2500

Density in g/cm3: 6.9
E in eV per cell: -12.94
Total moment in Bohr magnetons per cell: 0.00
Calculated formation energy in eV/atom: -0.42